No. 1
An optimized crystal structure of MgPWS2, computed with GGA-PBE.

Lattice parameters (Å, degrees): 4.614 4.614 4.698 90.00 90.00 90.00
Positions (direct):
P 0.000 0.000 0.500
W 0.500 0.500 0.500
S 0.000 0.500 0.000
S 0.500 0.000 0.000
Mg 0.000 0.000 0.000

Computed properties:
Its offset from the most stable computed form is 1143 meV/atom. The magnetic moment comes out at 2.6 μB/cell. The value obtained for the mass density is 5.034 g cm⁻³. The total energy is -22.22 eV per formula unit. The uncorrected formation energy comes out at 115.7 kJ/mol of atoms.

=====

No. 2
An optimized crystal structure of MgMnPb2C, computed with GGA-PBE.

Lattice parameters (Å, degrees): 5.391 3.799 5.391 90.00 90.00 90.00
Positions (direct):
Mg 0.500 0.500 0.500
C 0.000 0.000 0.000
Pb 0.500 0.000 0.000
Pb 0.000 0.000 0.500
Mn 0.000 0.500 0.000

Computed properties:
The energy of formation is 0.6018 eV/atom. The magnetic moment comes out at 3.0 μB/cell. The value obtained for the mass density is 7.606 g cm⁻³. The total energy is -24.40 eV per formula unit.

=====

No. 3
An optimized crystal structure of Zr24P8H, computed with GGA-PBE.

Lattice parameters (Å, degrees): 5.396 10.848 10.859 89.94 90.00 90.00
Positions (direct):
Zr 0.268 0.715 0.179
Zr 0.475 0.362 0.473
Zr 0.711 0.913 0.611
Zr 0.974 0.028 0.863
Zr 0.218 0.890 0.413
Zr 0.738 0.784 0.319
Zr 0.791 0.607 0.085
Zr 0.218 0.110 0.587
Zr 0.268 0.285 0.821
Zr 0.767 0.321 0.214
Zr 0.031 0.473 0.637
Zr 0.974 0.972 0.137
Zr 0.290 0.585 0.893
Zr 0.233 0.819 0.717
Zr 0.711 0.087 0.389
Zr 0.791 0.393 0.915
Zr 0.031 0.527 0.363
Zr 0.475 0.638 0.527
Zr 0.530 0.862 0.973
Zr 0.767 0.679 0.786
Zr 0.290 0.415 0.107
Zr 0.530 0.138 0.027
Zr 0.233 0.181 0.283
Zr 0.738 0.216 0.681
P 0.965 0.294 0.459
P 0.466 0.040 0.794
P 0.039 0.793 0.960
P 0.466 0.960 0.206
P 0.540 0.460 0.706
P 0.540 0.540 0.294
P 0.039 0.207 0.040
P 0.965 0.706 0.541
H 0.964 0.000 0.500

Computed properties:
The magnetic moment comes out at 0.0 μB/cell. The value obtained for the mass density is 6.370 g cm⁻³. The total energy is -280.03 eV per formula unit.

=====

No. 4
An optimized crystal structure of Tm7Ga2N2, computed with GGA-PBE.

Lattice parameters (Å, degrees): 6.423 6.389 6.389 99.26 92.13 92.13
Positions (direct):
Ga 0.500 0.143 0.857
Ga 0.500 0.857 0.143
N 0.003 0.271 0.271
N 0.997 0.729 0.729
Tm 0.663 0.678 0.678
Tm 0.799 0.155 0.500
Tm 0.201 0.845 0.500
Tm 0.000 0.000 0.000
Tm 0.337 0.322 0.322
Tm 0.799 0.500 0.155
Tm 0.201 0.500 0.845

Computed properties:
The magnetic moment comes out at 0.0 μB/cell. The value obtained for the mass density is 8.678 g cm⁻³. The total energy is -60.90 eV per formula unit. The uncorrected formation energy comes out at -60.4 kJ/mol of atoms.

=====

No. 5
An optimized crystal structure of K3Y3US8, computed with GGA-PBE.

Lattice parameters (Å, degrees): 8.063 8.061 8.813 117.23 90.00 120.01
Positions (direct):
S 0.734 0.467 0.701
S 0.771 0.033 0.305
S 0.738 0.967 0.695
S 0.229 0.967 0.695
S 0.229 0.458 0.695
S 0.266 0.533 0.299
S 0.771 0.542 0.305
S 0.262 0.033 0.305
Y 0.500 0.000 0.500
Y 0.500 0.500 0.500
Y 0.000 0.500 0.500
K 0.500 0.500 0.000
K 0.000 0.000 0.000
K 0.000 0.500 0.000
U 0.000 0.000 0.500

Computed properties:
The magnetic moment comes out at 2.0 μB/cell. The value obtained for the mass density is 3.464 g cm⁻³. The total energy is -93.84 eV per formula unit. The uncorrected formation energy comes out at -172.7 kJ/mol of atoms.

=====

No. 6
An optimized crystal structure of Er4Pu3S8, computed with GGA-PBE.

Lattice parameters (Å, degrees): 7.793 7.801 7.801 90.08 119.85 119.85
Positions (direct):
Er 0.000 0.000 0.500
Er 0.000 0.500 0.000
Er 0.000 0.000 0.000
Er 0.500 0.000 0.000
Pu 0.500 0.000 0.500
Pu 0.500 0.500 0.000
Pu 0.500 0.500 0.500
S 0.008 0.755 0.755
S 0.500 0.752 0.248
S 0.506 0.755 0.755
S 0.494 0.245 0.245
S 0.500 0.248 0.752
S 0.992 0.245 0.245
S 0.000 0.752 0.248
S 0.000 0.248 0.752

Computed properties:
The magnetic moment comes out at 16.9 μB/cell. The value obtained for the mass density is 8.178 g cm⁻³. The total energy is -123.26 eV per formula unit. The uncorrected formation energy comes out at -186.5 kJ/mol of atoms.

=====

No. 7
An optimized crystal structure of VCrH4, computed with GGA-PBE.

Lattice parameters (Å, degrees): 4.825 5.092 4.481 108.85 106.24 117.09
Positions (direct):
V 0.375 0.625 0.250
V 0.625 0.375 0.750
H 0.818 0.759 0.658
H 0.057 0.731 0.161
H 0.340 0.900 0.658
H 0.604 0.430 0.161
H 0.660 0.100 0.342
H 0.182 0.241 0.342
H 0.943 0.269 0.839
H 0.396 0.570 0.839
Cr 0.726 0.976 0.952
Cr 0.274 0.024 0.048

Computed properties:
Its offset from the most stable computed form is 170 meV/atom. The magnetic moment comes out at 0.0 μB/cell. The value obtained for the mass density is 4.442 g cm⁻³. The total energy is -31.82 eV per formula unit.

=====

No. 8
An optimized crystal structure of GeBI2N, computed with GGA-PBE.

Lattice parameters (Å, degrees): 5.921 5.921 3.521 90.00 90.00 90.00
Positions (direct):
I 0.000 0.500 0.000
I 0.500 0.000 0.000
B 0.500 0.500 0.500
N 0.000 0.000 0.500
Ge 0.000 0.000 0.000

Computed properties:
Its offset from the most stable computed form is 1145 meV/atom. The magnetic moment comes out at 0.0 μB/cell. The value obtained for the mass density is 4.726 g cm⁻³. The total energy is -15.85 eV per formula unit. The uncorrected formation energy comes out at 132.6 kJ/mol of atoms.

=====

No. 9
An optimized crystal structure of CdHNF2, computed with GGA-PBE.

Lattice parameters (Å, degrees): 4.238 4.238 2.784 90.00 90.00 90.00
Positions (direct):
F 0.500 0.000 0.000
F 0.000 0.500 0.000
N 0.000 0.000 0.500
H 0.000 0.000 0.000
Cd 0.500 0.500 0.500

Computed properties:
Its offset from the most stable computed form is 0 meV/atom. The magnetic moment comes out at 2.1 μB/cell. The value obtained for the mass density is 5.494 g cm⁻³. The total energy is -16.93 eV per formula unit.

=====

No. 10
An optimized crystal structure of CePr2TmBi5, computed with GGA-PBE.

Lattice parameters (Å, degrees): 5.594 5.594 11.831 90.00 90.00 90.00
Positions (direct):
Bi 0.500 0.500 0.000
Bi 0.500 0.000 0.500
Bi 0.000 0.000 0.244
Bi 0.000 0.000 0.756
Bi 0.000 0.500 0.500
Pr 0.500 0.500 0.281
Pr 0.500 0.500 0.719
Ce 0.000 0.000 0.500
Tm 0.000 0.000 0.000

Computed properties:
The energy of formation is -0.0776 eV/atom. The magnetic moment comes out at 0.0 μB/cell. The value obtained for the mass density is 7.336 g cm⁻³. The total energy is -40.07 eV per formula unit.

=====

No. 11
An optimized crystal structure of Ac4Hg5Au, computed with GGA-PBE.

Lattice parameters (Å, degrees): 5.524 7.104 8.725 104.95 108.45 90.00
Positions (direct):
Ac 0.911 0.140 0.823
Ac 0.089 0.860 0.177
Ac 0.681 0.302 0.362
Ac 0.319 0.698 0.638
Hg 0.287 0.183 0.574
Hg 0.107 0.416 0.214
Hg 0.713 0.817 0.426
Hg 0.893 0.584 0.786
Hg 0.500 0.500 0.000
Au 0.500 0.000 0.000

Computed properties:
The energy of formation is -0.4997 eV/atom. The magnetic moment comes out at 0.0 μB/cell. The value obtained for the mass density is 11.200 g cm⁻³. The total energy is -26.22 eV per formula unit.

=====

No. 12
An optimized crystal structure of Rb3ScCd, computed with GGA-PBE.

Lattice parameters (Å, degrees): 6.949 6.949 6.949 90.00 90.00 90.00
Positions (direct):
Rb 0.500 0.000 0.000
Rb 0.000 0.500 0.000
Rb 0.000 0.000 0.500
Sc 0.500 0.500 0.500
Cd 0.000 0.000 0.000

Computed properties:
The energy of formation is 0.6734 eV/atom. Its offset from the most stable computed form is 0 meV/atom. The magnetic moment comes out at 1.5 μB/cell. The value obtained for the mass density is 2.048 g cm⁻³. The total energy is -6.78 eV per formula unit.

=====

No. 13
An optimized crystal structure of Ni3GeCl, computed with GGA-PBE.

Lattice parameters (Å, degrees): 4.436 4.436 4.436 90.00 90.00 90.00
Positions (direct):
Ge 0.000 0.000 0.000
Cl 0.500 0.500 0.500
Ni 0.000 0.500 0.000
Ni 0.000 0.000 0.500
Ni 0.500 0.000 0.000

Computed properties:
Its offset from the most stable computed form is 93 meV/atom. The magnetic moment comes out at 0.0 μB/cell. The value obtained for the mass density is 5.404 g cm⁻³. The total energy is -20.42 eV per formula unit. The uncorrected formation energy comes out at 65.3 kJ/mol of atoms.

=====

No. 14
An optimized crystal structure of Al2VNi8, computed with GGA-PBE.

Lattice parameters (Å, degrees): 4.185 6.341 6.487 60.74 76.56 61.60
Positions (direct):
Al 0.000 0.696 0.609
Al 0.000 0.304 0.391
Ni 0.139 0.898 0.780
Ni 0.500 0.207 0.586
Ni 0.139 0.678 0.220
Ni 0.500 0.793 0.414
Ni 0.692 0.596 0.000
Ni 0.861 0.322 0.780
Ni 0.308 0.404 0.000
Ni 0.861 0.102 0.220
V 0.500 0.000 0.000

Computed properties:
The energy of formation is -0.1425 eV/atom. Its offset from the most stable computed form is 0 meV/atom. The magnetic moment comes out at 0.0 μB/cell. The value obtained for the mass density is 7.220 g cm⁻³. The total energy is -64.42 eV per formula unit.

=====

No. 15
An optimized crystal structure of Cr2Te2Pt, computed with GGA-PBE.

Lattice parameters (Å, degrees): 7.487 7.487 3.754 90.00 90.00 90.00
Positions (direct):
Cr 0.859 0.359 0.500
Cr 0.141 0.641 0.500
Cr 0.641 0.859 0.500
Cr 0.359 0.141 0.500
Te 0.832 0.668 0.000
Te 0.668 0.168 0.000
Te 0.168 0.332 0.000
Te 0.332 0.832 0.000
Pt 0.500 0.500 0.000
Pt 0.000 0.000 0.000

Computed properties:
Its offset from the most stable computed form is 0 meV/atom. The magnetic moment comes out at 15.7 μB/cell. The value obtained for the mass density is 8.748 g cm⁻³. The total energy is -30.17 eV per formula unit. The uncorrected formation energy comes out at 27.1 kJ/mol of atoms.